--- A ---
Entry from the Alexandria database: a relaxed structure of PuPa4Rh (PBE-GGA).

It has space group C2/c (No. 15), with a = 9.235 Å, b = 13.729 Å, c = 6.564 Å, α = 90.00°, β = 133.90° and γ = 90.00°. The inequivalent atoms are Pu at (0.000, 0.145, 0.250), Pa at (0.230, 0.040, 0.279), Pa at (0.233, 0.289, 0.261) and Rh at (0.000, 0.394, 0.750).



--- B ---
Entry from the Alexandria database: a relaxed structure of PuPa4Rh (PBE-GGA).

It has space group P2_1/c (No. 14), with a = 8.216 Å, b = 9.665 Å, c = 6.786 Å, α = 90.00°, β = 92.41° and γ = 90.00°. The inequivalent atoms are Pu at (0.030, 0.249, 0.224), Pa at (0.170, 0.036, 0.912), Pa at (0.179, 0.030, 0.406), Pa at (0.259, 0.745, 0.631), Pa at (0.405, 0.226, 0.589) and Rh at (0.488, 0.513, 0.289).



Result of the stability comparison: A is the least stable of them.